This record from the Alexandria database describes a relaxed NiHgSe crystal. The functional is PBE.

Results
Electronic total energy, eV per atom: -3.2704
Excess energy over the best structure of this formula in the dataset, meV per atom: 58
E_form (uncorrected), eV per atom: -0.081

Structure (POSCAR):
```
NiHgSe
1.0
6.217 0.000 0.000
0.000 6.580 -0.609
0.000 -2.381 6.063
Hg Se Ni
4 4 4
Direct
0.341 0.869 0.622
0.841 0.131 0.878
0.159 0.869 0.122
0.659 0.131 0.378
0.382 0.348 0.155
0.118 0.348 0.655
0.618 0.652 0.845
0.882 0.652 0.345
0.459 0.316 0.796
0.959 0.684 0.704
0.541 0.684 0.204
0.041 0.316 0.296
```

***

This record from the Alexandria database describes a relaxed NiHg2Se crystal. The functional is PBE.

Results
Electronic total energy, eV per atom: -2.1286
E_form (uncorrected), eV per atom: 0.339

Structure (POSCAR):
```
NiHg2Se
1.0
5.896 0.058 0.281
-3.164 4.976 0.281
1.232 2.270 3.070
Ni Se Hg
1 1 2
Direct
0.500 0.000 0.500
0.000 0.500 0.500
0.000 0.000 0.000
0.500 0.500 0.000
```

***

This record from the Alexandria database describes a relaxed SrNiHgSe2 crystal. The functional is PBE.

Results
Electronic total energy, eV per atom: -3.3234
E_form (uncorrected), eV per atom: -0.377

Structure (POSCAR):
```
SrNiHgSe2
1.0
-2.367 3.819 1.655
1.719 -1.146 5.105
3.884 2.710 -0.700
Hg Sr Ni Se
1 1 1 2
Direct
0.500 0.500 0.500
0.000 0.500 0.000
0.000 0.000 0.000
0.000 0.000 0.500
0.500 0.000 0.000
```

***

This record from the Alexandria database describes a relaxed Ta2NiHg2Se6 crystal. The functional is PBE.

Results
Electronic total energy, eV per atom: -5.0793
E_form (uncorrected), eV per atom: -0.443

Structure (POSCAR):
```
Ta2NiHg2Se6
1.0
6.160 -0.032 -0.166
-3.073 5.339 -0.166
-1.383 -2.376 9.453
Hg Ta Se Ni
2 2 6 1
Direct
0.790 0.210 0.000
0.210 0.790 0.000
0.665 0.335 0.500
0.335 0.665 0.500
0.231 0.231 0.334
0.914 0.592 0.335
0.769 0.769 0.666
0.592 0.914 0.335
0.408 0.086 0.665
0.086 0.408 0.665
0.000 0.000 0.500
```